#i
This record from Alexandria describes crystalline GaSb at its relaxed geometry. The functional is GGA-PBEsol.

## Properties
* N(E_F): 0.08 states/eV per cell
* size of the total moment: 0.00 μB per atom

Cell: 4.3050 4.3050 7.0981 Å, 90.00 90.00 120.00°
Last column: nearest neighbours and their distance in Å.
Element x y z (fractional)
Ga 0.3333 0.6667 0.0000  4 Sb 2.64-2.65
Ga 0.6667 0.3333 0.5000  4 Sb 2.64-2.65
Sb 0.3333 0.6667 0.6260  4 Ga 2.64-2.65
Sb 0.6667 0.3333 0.1260  4 Ga 2.64-2.65



#ii
This record from Alexandria describes crystalline GaSb at its relaxed geometry. The functional is GGA-PBEsol.

## Properties
* N(E_F): 0.29 states/eV per cell
* size of the total moment: 0.00 μB per atom

Cell: 6.1096 6.1096 6.1096 Å, 90.00 90.00 90.00°
Last column: nearest neighbours and their distance in Å.
Element x y z (fractional)
Ga 0.0000 0.0000 0.0000  4 Sb 2.65
Ga 0.0000 0.5000 0.5000  4 Sb 2.65
Ga 0.5000 0.0000 0.5000  4 Sb 2.65
Ga 0.5000 0.5000 0.0000  4 Sb 2.65
Sb 0.2500 0.2500 0.2500  4 Ga 2.65
Sb 0.2500 0.7500 0.7500  4 Ga 2.65
Sb 0.7500 0.2500 0.7500  4 Ga 2.65
Sb 0.7500 0.7500 0.2500  4 Ga 2.65



What should be chosen as the most stable of them? Choose #ii.



#i
This record from Alexandria describes crystalline YGaSb2Te at its relaxed geometry. The functional is GGA-PBEsol.

## Properties
* N(E_F): 4.49 states/eV per cell
* size of the total moment: 0.00 μB per atom

Cell: 5.7061 5.7061 5.7215 Å, 90.00 90.00 90.00°
Last column: nearest neighbours and their distance in Å.
Element x y z (fractional)
Y 0.0000 0.0000 0.0000  4 Sb 2.85, 2 Te 2.86
Ga 0.5000 0.5000 0.5000  4 Te 4.03, 8 Sb 4.04
Sb 0.0000 0.5000 0.0000  2 Y 2.85
Sb 0.5000 0.0000 0.0000  2 Y 2.85
Te 0.0000 0.0000 0.5000  2 Y 2.86



#ii
This record from Alexandria describes crystalline YGaSb2Te at its relaxed geometry. The functional is GGA-PBEsol.

## Properties
* N(E_F): 4.63 states/eV per cell
* size of the total moment: 0.00 μB per atom

Cell: 5.1862 5.1862 5.3353 Å, 90.00 90.00 90.00°
Last column: nearest neighbours and their distance in Å.
Element x y z (fractional)
Y 0.0000 0.0000 0.0000  4 Te 3.67, 8 Sb 3.72
Ga 0.5000 0.5000 0.5000  4 Sb 2.59, 2 Te 2.67
Sb 0.0000 0.5000 0.5000  2 Ga 2.59
Sb 0.5000 0.0000 0.5000  2 Ga 2.59
Te 0.5000 0.5000 0.0000  2 Ga 2.67



What should be chosen as the most stable of them? Choose #ii.



#i
This record from Alexandria describes crystalline TlGaSe2 at its relaxed geometry. The functional is GGA-PBEsol.

## Properties
* N(E_F): 0.00 states/eV per cell
* size of the total moment: 0.00 μB per atom

Cell: 7.2615 7.2615 8.1896 Å, 90.00 90.00 90.00°
Last column: nearest neighbours and their distance in Å.
Element x y z (fractional)
Tl 0.0000 0.0000 0.0000  4 Se 3.19
Tl 0.0000 0.5000 0.2500  4 Se 3.19
Tl 0.5000 0.0000 0.7500  4 Se 3.19
Tl 0.5000 0.5000 0.5000  4 Se 3.19
Ga 0.0000 0.0000 0.5000  4 Se 2.41
Ga 0.0000 0.5000 0.7500  4 Se 2.41
Ga 0.5000 0.0000 0.2500  4 Se 2.41
Ga 0.5000 0.5000 0.0000  4 Se 2.41
Se 0.1674 0.7500 0.6250  2 Ga 2.41
Se 0.2500 0.1674 0.3750  2 Ga 2.41
Se 0.2500 0.3326 0.8750  2 Ga 2.41
Se 0.3326 0.7500 0.1250  2 Ga 2.41
Se 0.6674 0.2500 0.1250  2 Ga 2.41
Se 0.7500 0.6674 0.8750  2 Ga 2.41
Se 0.7500 0.8326 0.3750  2 Ga 2.41
Se 0.8326 0.2500 0.6250  2 Ga 2.41



#ii
This record from Alexandria describes crystalline TlGaSe2 at its relaxed geometry. The functional is GGA-PBEsol.

## Properties
* size of the total moment: 0.00 μB per atom

Cell: 7.5753 7.5753 15.4813 Å, 97.39 97.39 89.97°
Last column: nearest neighbours and their distance in Å.
Element x y z (fractional)
Tl 0.1572 0.7317 0.6066  7 Se 3.21-3.50
Tl 0.1990 0.3404 0.8808  7 Se 3.23-3.52
Tl 0.2683 0.8428 0.8934  7 Se 3.21-3.50
Tl 0.3404 0.1990 0.3808  7 Se 3.23-3.52
Tl 0.6596 0.8010 0.6192  7 Se 3.23-3.52
Tl 0.7317 0.1572 0.1066  7 Se 3.21-3.50
Tl 0.8010 0.6596 0.1192  7 Se 3.23-3.52
Tl 0.8428 0.2683 0.3934  7 Se 3.21-3.50
Ga 0.0842 0.7163 0.3376  4 Se 2.40-2.42
Ga 0.2845 0.4202 0.1599  4 Se 2.40-2.41
Ga 0.2837 0.9158 0.1624  4 Se 2.40-2.42
Ga 0.4202 0.2845 0.6599  4 Se 2.40-2.41
Ga 0.5798 0.7155 0.3401  4 Se 2.40-2.41
Ga 0.7163 0.0842 0.8376  4 Se 2.40-2.42
Ga 0.7155 0.5798 0.8401  4 Se 2.40-2.41
Ga 0.9158 0.2837 0.6624  4 Se 2.40-2.42
Se 0.0403 0.9597 0.2500  2 Ga 2.42
Se 0.0460 0.4280 0.2492  2 Ga 2.41-2.42
Se 0.1412 0.2811 0.5649  2 Ga 2.41-2.42
Se 0.2375 0.6438 0.0631  2 Ga 2.40
Se 0.2811 0.1412 0.0649  2 Ga 2.41-2.42
Se 0.3562 0.7625 0.4369  2 Ga 2.40
Se 0.4280 0.0460 0.7492  2 Ga 2.41-2.42
Se 0.4319 0.5681 0.7500  2 Ga 2.40
Se 0.5681 0.4319 0.2500  2 Ga 2.40
Se 0.5720 0.9540 0.2508  2 Ga 2.41-2.42
Se 0.6438 0.2375 0.5631  2 Ga 2.40
Se 0.7189 0.8588 0.9351  2 Ga 2.41-2.42
Se 0.7625 0.3562 0.9369  2 Ga 2.40
Se 0.8588 0.7189 0.4351  2 Ga 2.41-2.42
Se 0.9540 0.5720 0.7508  2 Ga 2.41-2.42
Se 0.9597 0.0403 0.7500  2 Ga 2.42



What should be chosen as the most stable of them? Choose #ii.



#i
This record from Alexandria describes crystalline GaSi2Sn at its relaxed geometry. The functional is GGA-PBEsol.

## Properties
* N(E_F): 8.56 states/eV per cell
* size of the total moment: 0.00 μB per atom

Cell: 5.7638 5.7638 11.5833 Å, 90.00 90.00 90.00°
Last column: nearest neighbours and their distance in Å.
Element x y z (fractional)
Ga 0.0000 0.0000 0.0000  4 Si 2.41
Ga 0.0000 0.5000 0.2500  4 Si 2.41
Ga 0.5000 0.0000 0.7500  4 Si 2.41
Ga 0.5000 0.5000 0.5000  4 Si 2.41
Si 0.2230 0.2500 0.1250  2 Ga 2.41, 2 Sn 2.59
Si 0.2500 0.7230 0.3750  2 Ga 2.41, 2 Sn 2.59
Si 0.2500 0.7770 0.8750  2 Ga 2.41, 2 Sn 2.59
Si 0.2770 0.2500 0.6250  2 Ga 2.41, 2 Sn 2.59
Si 0.7230 0.7500 0.6250  2 Ga 2.41, 2 Sn 2.59
Si 0.7500 0.2230 0.8750  2 Ga 2.41, 2 Sn 2.59
Si 0.7500 0.2770 0.3750  2 Ga 2.41, 2 Sn 2.59
Si 0.7770 0.7500 0.1250  2 Ga 2.41, 2 Sn 2.59
Sn 0.0000 0.0000 0.5000  4 Si 2.59
Sn 0.0000 0.5000 0.7500  4 Si 2.59
Sn 0.5000 0.0000 0.2500  4 Si 2.59
Sn 0.5000 0.5000 0.0000  4 Si 2.59



#ii
This record from Alexandria describes crystalline GaSi2Sn at its relaxed geometry. The functional is GGA-PBEsol.

## Properties
* N(E_F): 7.87 states/eV per cell
* size of the total moment: 0.00 μB per atom

Cell: 6.6586 6.6586 6.6586 Å, 90.00 90.00 90.00°
Last column: nearest neighbours and their distance in Å.
Element x y z (fractional)
Ga 0.0000 0.0000 0.0000  8 Si 2.88
Ga 0.0000 0.5000 0.5000  8 Si 2.88
Ga 0.5000 0.0000 0.5000  8 Si 2.88
Ga 0.5000 0.5000 0.0000  8 Si 2.88
Si 0.2500 0.2500 0.2500  4 Sn 2.88, 4 Ga 2.88
Si 0.2500 0.2500 0.7500  4 Sn 2.88, 4 Ga 2.88
Si 0.2500 0.7500 0.2500  4 Sn 2.88, 4 Ga 2.88
Si 0.2500 0.7500 0.7500  4 Sn 2.88, 4 Ga 2.88
Si 0.7500 0.2500 0.2500  4 Sn 2.88, 4 Ga 2.88
Si 0.7500 0.2500 0.7500  4 Sn 2.88, 4 Ga 2.88
Si 0.7500 0.7500 0.2500  4 Sn 2.88, 4 Ga 2.88
Si 0.7500 0.7500 0.7500  4 Sn 2.88, 4 Ga 2.88
Sn 0.0000 0.0000 0.5000  8 Si 2.88
Sn 0.0000 0.5000 0.0000  8 Si 2.88
Sn 0.5000 0.0000 0.0000  8 Si 2.88
Sn 0.5000 0.5000 0.5000  8 Si 2.88



What should be chosen as the most stable of them? Choose #i.



#i
This record from Alexandria describes crystalline TlGaSi2 at its relaxed geometry. The functional is GGA-PBEsol.

## Properties
* N(E_F): 8.94 states/eV per cell
* size of the total moment: 0.00 μB per atom

Cell: 5.8507 5.8507 11.4593 Å, 90.00 90.00 90.00°
Last column: nearest neighbours and their distance in Å.
Element x y z (fractional)
Tl 0.0000 0.0000 0.0000  4 Si 2.64
Tl 0.0000 0.5000 0.2500  4 Si 2.64
Tl 0.5000 0.0000 0.7500  4 Si 2.64
Tl 0.5000 0.5000 0.5000  4 Si 2.64
Ga 0.0000 0.0000 0.5000  4 Si 2.40
Ga 0.0000 0.5000 0.7500  4 Si 2.40
Ga 0.5000 0.0000 0.2500  4 Si 2.40
Ga 0.5000 0.5000 0.0000  4 Si 2.40
Si 0.2140 0.2500 0.6250  2 Ga 2.40, 2 Tl 2.64
Si 0.2500 0.7140 0.8750  2 Ga 2.40, 2 Tl 2.64
Si 0.2500 0.7860 0.3750  2 Ga 2.40, 2 Tl 2.64
Si 0.2860 0.2500 0.1250  2 Ga 2.40, 2 Tl 2.64
Si 0.7140 0.7500 0.1250  2 Ga 2.40, 2 Tl 2.64
Si 0.7500 0.2140 0.3750  2 Ga 2.40, 2 Tl 2.64
Si 0.7500 0.2860 0.8750  2 Ga 2.40, 2 Tl 2.64
Si 0.7860 0.7500 0.6250  2 Ga 2.40, 2 Tl 2.64



#ii
This record from Alexandria describes crystalline TlGaSi2 at its relaxed geometry. The functional is GGA-PBEsol.

## Properties
* N(E_F): 8.90 states/eV per cell
* size of the total moment: 0.00 μB per atom

Cell: 6.7686 6.7686 6.7686 Å, 90.00 90.00 90.00°
Last column: nearest neighbours and their distance in Å.
Element x y z (fractional)
Tl 0.0000 0.0000 0.0000  8 Si 2.93
Tl 0.0000 0.5000 0.5000  8 Si 2.93
Tl 0.5000 0.0000 0.5000  8 Si 2.93
Tl 0.5000 0.5000 0.0000  8 Si 2.93
Ga 0.0000 0.0000 0.5000  8 Si 2.93
Ga 0.0000 0.5000 0.0000  8 Si 2.93
Ga 0.5000 0.0000 0.0000  8 Si 2.93
Ga 0.5000 0.5000 0.5000  8 Si 2.93
Si 0.2500 0.2500 0.2500  4 Tl 2.93, 4 Ga 2.93
Si 0.2500 0.2500 0.7500  4 Tl 2.93, 4 Ga 2.93
Si 0.2500 0.7500 0.2500  4 Tl 2.93, 4 Ga 2.93
Si 0.2500 0.7500 0.7500  4 Tl 2.93, 4 Ga 2.93
Si 0.7500 0.2500 0.2500  4 Tl 2.93, 4 Ga 2.93
Si 0.7500 0.2500 0.7500  4 Tl 2.93, 4 Ga 2.93
Si 0.7500 0.7500 0.2500  4 Tl 2.93, 4 Ga 2.93
Si 0.7500 0.7500 0.7500  4 Tl 2.93, 4 Ga 2.93



What should be chosen as the most stable of them? Choose #i.



#i
This record from Alexandria describes crystalline ZrGaSi3 at its relaxed geometry. The functional is GGA-PBEsol.

## Properties
* N(E_F): 3.56 states/eV per cell
* size of the total moment: 0.00 μB per atom

Cell: 4.6159 4.6159 4.6159 Å, 90.00 90.00 90.00°
Last column: nearest neighbours and their distance in Å.
Element x y z (fractional)
Zr 0.0000 0.0000 0.0000  12 Si 3.26
Ga 0.5000 0.5000 0.5000  6 Si 2.31
Si 0.0000 0.5000 0.5000  2 Ga 2.31
Si 0.5000 0.0000 0.5000  2 Ga 2.31
Si 0.5000 0.5000 0.0000  2 Ga 2.31



#ii
This record from Alexandria describes crystalline ZrGaSi3 at its relaxed geometry. The functional is GGA-PBEsol.

## Properties
* N(E_F): 1.68 states/eV per cell
* size of the total moment: 0.00 μB per atom

Cell: 5.0259 5.0259 5.0259 Å, 90.00 90.00 90.00°
Last column: nearest neighbours and their distance in Å.
Element x y z (fractional)
Zr 0.0000 0.0000 0.0000  6 Si 2.51
Ga 0.5000 0.5000 0.5000  12 Si 3.55
Si 0.0000 0.0000 0.5000  2 Zr 2.51
Si 0.0000 0.5000 0.0000  2 Zr 2.51
Si 0.5000 0.0000 0.0000  2 Zr 2.51



What should be chosen as the most stable of them? Choose #ii.